Material: TcPb
Method: DFT, PBE
State: relaxed

The space group is F-43m (No. 216) and the conventional cell measures 6.298, 6.298 and 6.298 Å, with angles of 90.00, 90.00 and 90.00 degrees. Symmetry generates all atoms from Tc at (0.000, 0.000, 0.000) and Pb at (0.250, 0.250, 0.750).

The energy above the lowest structure with this stoichiometry comes out at 1398 meV/atom. As for the formation energy: 3.3 eV/f.u. For the magnetization, the calculation gives 1.12 μB per atom. Its calculated total energy is -43.0 eV for the cell shown.

Material: Tc7Pb6
Method: DFT, PBE
State: relaxed

The space group is R-3m (No. 166, hexagonal axes) and the conventional cell measures 5.4973, 5.4973 and 29.3587 Å, with angles of 90.00, 90.00 and 120.00 degrees. Symmetry generates all atoms from Tc at (0.0000, 0.0000, 0.0000), Tc at (0.0096, 0.5048, 0.4104), Pb at (0.0000, 0.0000, 0.1640), Pb at (0.0000, 0.0000, 0.3438) and Pb at (0.0000, 0.0000, 0.4475).

As for the formation energy: 7.7 eV/f.u. For the magnetization, the calculation gives 0.00 μB per atom. Its calculated total energy is -261.4 eV for the cell shown.

Material: TcPb
Method: DFT, PBE
State: relaxed

The space group is Pmmn (No. 59, origin choice 2) and the conventional cell measures 3.230, 5.132 and 4.717 Å, with angles of 90.00, 90.00 and 90.00 degrees. Symmetry generates all atoms from Tc at (0.250, 0.250, 0.091) and Pb at (0.250, 0.750, 0.394).

The energy above the lowest structure with this stoichiometry comes out at 514 meV/atom. As for the formation energy: 1.6 eV/f.u. For the magnetization, the calculation gives 0.00 μB per atom. Its calculated total energy is -25.0 eV for the cell shown.

Material: Tc4Pb5
Method: DFT, PBE
State: relaxed

The space group is I4/mmm (No. 139) and the conventional cell measures 9.126, 9.126 and 4.989 Å, with angles of 90.00, 90.00 and 90.00 degrees. Symmetry generates all atoms from Tc at (0.000, 0.380, 0.000), Pb at (0.000, 0.000, 0.000) and Pb at (0.179, 0.179, 0.500).

The energy above the lowest structure with this stoichiometry comes out at 0 meV/atom. As for the formation energy: 5.3 eV/f.u. For the magnetization, the calculation gives 0.00 μB per atom. Its calculated total energy is -109.3 eV for the cell shown.

Material: TcPb
Method: DFT, PBE
State: relaxed

The space group is Imma (No. 74) and the conventional cell measures 3.243, 4.782 and 11.636 Å, with angles of 90.00, 90.00 and 90.00 degrees. Symmetry generates all atoms from Tc at (0.000, 0.250, 0.175) and Pb at (0.000, 0.250, 0.608).

The energy above the lowest structure with this stoichiometry comes out at 400 meV/atom. As for the formation energy: 1.3 eV/f.u. For the magnetization, the calculation gives 0.00 μB per atom. Its calculated total energy is -51.0 eV for the cell shown.

Material: Tc5Pb
Method: DFT, PBE
State: relaxed

The space group is Cm (No. 8) and the conventional cell measures 10.278, 2.908 and 6.620 Å, with angles of 90.00, 104.81 and 90.00 degrees. Symmetry generates all atoms from Tc at (0.000, 0.000, 0.000), Tc at (0.047, 0.000, 0.630), Tc at (0.145, 0.500, 0.364), Tc at (0.200, 0.500, 0.931), Tc at (0.320, 0.000, 0.688) and Pb at (0.365, 0.000, 0.277).

The energy above the lowest structure with this stoichiometry comes out at 0 meV/atom. As for the formation energy: 1.9 eV/f.u. For the magnetization, the calculation gives 0.00 μB per atom. Its calculated total energy is -107.3 eV for the cell shown.

Material: Tc5Pb
Method: DFT, PBE
State: relaxed

The space group is Cmmm (No. 65) and the conventional cell measures 3.987, 11.970 and 4.018 Å, with angles of 90.00, 90.00 and 90.00 degrees. Symmetry generates all atoms from Tc at (0.000, 0.000, 0.000), Tc at (0.000, 0.181, 0.500), Tc at (0.000, 0.323, 0.000) and Pb at (0.000, 0.500, 0.500).

The energy above the lowest structure with this stoichiometry comes out at 30 meV/atom. As for the formation energy: 2.1 eV/f.u. For the magnetization, the calculation gives 0.02 μB per atom. Its calculated total energy is -106.9 eV for the cell shown.

Material: TcPb
Method: DFT, PBE
State: relaxed

The space group is Cmcm (No. 63) and the conventional cell measures 3.648, 10.438 and 4.394 Å, with angles of 90.00, 90.00 and 90.00 degrees. Symmetry generates all atoms from Tc at (0.000, 0.057, 0.250) and Pb at (0.000, 0.341, 0.250).

The energy above the lowest structure with this stoichiometry comes out at 297 meV/atom. As for the formation energy: 1.1 eV/f.u. For the magnetization, the calculation gives 0.00 μB per atom. Its calculated total energy is -51.8 eV for the cell shown.

Material: TcPb
Method: DFT, PBE
State: relaxed

The space group is P-6m2 (No. 187) and the conventional cell measures 3.2982, 3.2982 and 4.1823 Å, with angles of 90.00, 90.00 and 120.00 degrees. Symmetry generates all atoms from Tc at (0.0000, 0.0000, 0.0000) and Pb at (0.3333, 0.6667, 0.5000).

The energy above the lowest structure with this stoichiometry comes out at 471 meV/atom. As for the formation energy: 1.5 eV/f.u. For the magnetization, the calculation gives 0.00 μB per atom. Its calculated total energy is -12.6 eV for the cell shown.

Material: Tc6Pb7
Method: DFT, PBE
State: relaxed

The space group is R-3m (No. 166, hexagonal axes) and the conventional cell measures 6.1896, 6.1896 and 28.4640 Å, with angles of 90.00, 90.00 and 120.00 degrees. Symmetry generates all atoms from Tc at (0.0000, 0.0000, 0.0379), Tc at (0.0000, 0.0000, 0.1791), Tc at (0.0000, 0.0000, 0.3385), Pb at (0.0000, 0.0000, 0.5000) and Pb at (0.0091, 0.5045, 0.9232).

As for the formation energy: 17.1 eV/f.u. For the magnetization, the calculation gives 0.56 μB per atom. Its calculated total energy is -213.0 eV for the cell shown.

Material: TcPb
Method: DFT, PBE
State: relaxed

The space group is P-3m1 (No. 164) and the conventional cell measures 3.0937, 3.0937 and 10.6712 Å, with angles of 90.00, 90.00 and 120.00 degrees. Symmetry generates all atoms from Tc at (0.3333, 0.6667, 0.0860) and Pb at (0.3333, 0.6667, 0.6758).

The energy above the lowest structure with this stoichiometry comes out at 215 meV/atom. As for the formation energy: 1.0 eV/f.u. For the magnetization, the calculation gives 0.00 μB per atom. Its calculated total energy is -26.2 eV for the cell shown.

Material: TcPb
Method: DFT, PBE
State: relaxed

The space group is P4/nmm (No. 129, origin choice 2) and the conventional cell measures 3.120, 3.120 and 9.218 Å, with angles of 90.00, 90.00 and 90.00 degrees. Symmetry generates all atoms from Tc at (0.250, 0.250, 0.071) and Pb at (0.250, 0.250, 0.688).

The energy above the lowest structure with this stoichiometry comes out at 0 meV/atom. As for the formation energy: 0.5 eV/f.u. For the magnetization, the calculation gives 0.00 μB per atom. Its calculated total energy is -27.1 eV for the cell shown.